No. 1
First-principles (GGA-PBE) data for an optimized crystal structure of LuSBr, as listed in Alexandria.

theoretical density: 5.2 g cm⁻³
D(E_F): 0.0 states/eV/f.u.
E_tot: -16.102 eV per formula unit
symmetry: P3m1 (156)

Structure (POSCAR):
```
LuSBr
1.0
-2.032 3.268 -0.953
-1.744 -3.553 -0.222
-2.028 0.598 6.378
S Br Lu
1 1 1
direct
0.333 0.667 0.542
0.000 0.000 0.094
0.667 0.333 0.363
```

---

No. 2
First-principles (GGA-PBE) data for an optimized crystal structure of La2AlSi, as listed in Alexandria.

theoretical density: 4.4 g cm⁻³
D(E_F): 4.2 states/eV/f.u.
E_tot: -19.945 eV per formula unit
symmetry: R-3m (166)

Structure (POSCAR):
```
La2AlSi
1.0
8.118 -0.034 -0.020
6.970 4.161 -0.020
6.970 1.907 3.698
Al La Si
1 2 1
direct
0.750 0.750 0.750
0.989 0.989 0.989
0.511 0.511 0.511
0.250 0.250 0.250
```

---

Q: Number 1 is which compound?
A: LuSBr